# 1
Compound: Sc2CoHPb
Source: the Alexandria database
Functional: PBE
Structure: optimized geometry

Values from the calculation:
As for the energy: -5.66 eV/atom. As for the symmetry: No. 123. The value obtained for the magnetic moment is 0.21 μB per formula unit. Its density of states at the Fermi level is 0.6232 states/eV/atom.

Geometry as POSCAR:
```
Sc2CoHPb
1.0
4.613 0.000 0.000
0.000 4.613 0.000
0.000 0.000 3.722
Sc Co H Pb
2 1 1 1
direct
0.000 0.500 0.000
0.500 0.000 0.000
0.000 0.000 0.500
0.000 0.000 0.000
0.500 0.500 0.500
```

# 2
Compound: Ho4Si2S3O7
Source: the Alexandria database
Functional: PBE
Structure: optimized geometry

Values from the calculation:
As for the symmetry: No. 141. The formation energy from raw total energies comes out at -276 kJ per mole of atoms. The value obtained for the magnetic moment is 0.01 μB per formula unit. Its density of states at the Fermi level is 0.0000 states/eV/atom.

Geometry as POSCAR:
```
Ho4Si2S3O7
1.0
-5.850 5.850 6.813
5.850 -5.850 6.813
5.850 5.850 -6.813
Ho Si S O
16 8 12 28
direct
0.047 0.297 0.095
0.047 0.953 0.750
0.173 0.659 0.514
0.297 0.047 0.595
0.297 0.703 0.250
0.341 0.356 0.514
0.341 0.827 0.986
0.356 0.341 0.014
0.644 0.659 0.986
0.659 0.173 0.014
0.659 0.644 0.486
0.703 0.297 0.750
0.703 0.953 0.405
0.827 0.341 0.486
0.953 0.047 0.250
0.953 0.703 0.905
0.096 0.221 0.625
0.096 0.471 0.875
0.221 0.096 0.125
0.471 0.096 0.375
0.529 0.904 0.625
0.779 0.904 0.875
0.904 0.529 0.125
0.904 0.779 0.375
0.000 0.354 0.354
0.000 0.646 0.646
0.125 0.875 0.250
0.354 0.000 0.854
0.354 0.500 0.354
0.375 0.625 0.750
0.500 0.354 0.854
0.500 0.646 0.146
0.625 0.375 0.250
0.646 0.000 0.146
0.646 0.500 0.646
0.875 0.125 0.750
0.083 0.567 0.233
0.083 0.850 0.515
0.150 0.165 0.233
0.150 0.400 0.750
0.150 0.917 0.985
0.165 0.150 0.733
0.165 0.433 0.015
0.174 0.191 0.517
0.174 0.657 0.983
0.191 0.174 0.017
0.343 0.826 0.517
0.400 0.150 0.250
0.433 0.165 0.515
0.433 0.917 0.267
0.567 0.083 0.733
0.567 0.835 0.485
0.600 0.850 0.750
0.657 0.174 0.483
0.809 0.826 0.983
0.826 0.343 0.017
0.826 0.809 0.483
0.835 0.567 0.985
0.835 0.850 0.267
0.850 0.083 0.015
0.850 0.600 0.250
0.850 0.835 0.767
0.917 0.150 0.485
0.917 0.433 0.767
```

# 3
Compound: Sr3Li2Mg9
Source: the Alexandria database
Functional: PBE
Structure: optimized geometry

Values from the calculation:
As for the symmetry: No. 71. As for the energy of formation from the pure elements: -17 meV/atom. The value obtained for the magnetic moment is 0.00 μB per formula unit. Its density of states at the Fermi level is 0.7828 states/eV/atom.

Geometry as POSCAR:
```
Sr3Li2Mg9
1.0
-2.574 5.409 7.364
2.574 -5.409 7.364
2.574 5.409 -7.364
Sr Li Mg
3 2 9
direct
0.000 0.000 0.000
0.300 0.300 0.000
0.700 0.700 0.000
0.310 0.500 0.810
0.690 0.500 0.190
0.020 0.667 0.353
0.159 0.877 0.282
0.314 0.667 0.647
0.405 0.123 0.282
0.500 0.000 0.500
0.595 0.877 0.718
0.686 0.333 0.353
0.841 0.123 0.718
0.980 0.333 0.647
```

# 4
Compound: BaSn2Se
Source: the Alexandria database
Functional: PBE
Structure: optimized geometry

Values from the calculation:
As for the symmetry: No. 122. The formation energy from raw total energies comes out at -42 kJ per mole of atoms. The value obtained for the magnetic moment is 0.00 μB per formula unit. Its density of states at the Fermi level is 0.7111 states/eV/atom.

Geometry as POSCAR:
```
BaSn2Se
1.0
-4.654 4.654 3.152
4.654 -4.654 3.152
4.654 4.654 -3.152
Ba Sn Se
2 4 2
direct
0.000 0.000 0.000
0.750 0.250 0.500
0.178 0.625 0.053
0.375 0.428 0.553
0.572 0.125 0.947
0.875 0.822 0.447
0.250 0.750 0.500
0.500 0.500 0.000
```

- Number 2 is which compound?
  Ho4Si2S3O7

- magnetic moment of number 3 (Sr3Li2Mg9)?
  0.00 μB per formula unit